1.
# PBE HfMg2H, optimized geometry
data_HfMg2H
_chemical_formula_sum 'Hf2 Mg4 H2'
_space_group_name_H-M_alt 'P 1'
_space_group_IT_number 1
_cell_length_a 5.838
_cell_length_b 5.838
_cell_length_c 5.838
_cell_angle_alpha 60.00
_cell_angle_beta 60.00
_cell_angle_gamma 90.00
loop_
_space_group_symop_operation_xyz
'x,y,z'
loop_
_atom_site_label
_atom_site_type_symbol
_atom_site_fract_x
_atom_site_fract_y
_atom_site_fract_z
_atom_site_occupancy
Hf1 Hf 0.000 0.000 0.000 1
Hf2 Hf 0.750 0.250 0.500 1
Mg1 Mg 0.375 0.125 0.250 1
Mg2 Mg 0.375 0.625 0.750 1
Mg3 Mg 0.875 0.625 0.750 1
Mg4 Mg 0.375 0.625 0.250 1
H1 H 0.250 0.750 0.500 1
H2 H 0.500 0.500 0.000 1
# Excess energy over the best structure of this formula in the dataset ... 0.0 kJ/mol of atoms
# Calculated density ... 5.38 g/cm³
# SG ... Fd-3m
# M_tot ... 1.3 μB/f.u.
# VASP energy ... -30.37 eV per cell

***

2.
# PBE NdSm7Dy12, optimized geometry
data_NdSm7Dy12
_chemical_formula_sum 'Nd1 Sm7 Dy12'
_space_group_name_H-M_alt 'P 1'
_space_group_IT_number 1
_cell_length_a 8.740
_cell_length_b 8.740
_cell_length_c 8.740
_cell_angle_alpha 95.01
_cell_angle_beta 95.01
_cell_angle_gamma 95.01
loop_
_space_group_symop_operation_xyz
'x,y,z'
loop_
_atom_site_label
_atom_site_type_symbol
_atom_site_fract_x
_atom_site_fract_y
_atom_site_fract_z
_atom_site_occupancy
Dy1 Dy 0.147 0.415 0.480 1
Dy2 Dy 0.520 0.853 0.585 1
Dy3 Dy 0.415 0.480 0.147 1
Dy4 Dy 0.251 0.681 0.813 1
Dy5 Dy 0.681 0.813 0.251 1
Dy6 Dy 0.585 0.520 0.853 1
Dy7 Dy 0.480 0.147 0.415 1
Dy8 Dy 0.749 0.319 0.187 1
Dy9 Dy 0.853 0.585 0.520 1
Dy10 Dy 0.813 0.251 0.681 1
Dy11 Dy 0.319 0.187 0.749 1
Dy12 Dy 0.187 0.749 0.319 1
Sm1 Sm 0.500 0.500 0.500 1
Sm2 Sm 0.983 0.916 0.646 1
Sm3 Sm 0.646 0.983 0.916 1
Sm4 Sm 0.354 0.017 0.084 1
Sm5 Sm 0.916 0.646 0.983 1
Sm6 Sm 0.084 0.354 0.017 1
Sm7 Sm 0.017 0.084 0.354 1
Nd1 Nd 0.000 0.000 0.000 1
# Excess energy over the best structure of this formula in the dataset ... 0.0 kJ/mol of atoms
# Calculated density ... 7.92 g/cm³
# SG ... R-3
# M_tot ... 0.0 μB/f.u.
# VASP energy ... -87.35 eV per cell
# ΔH_f (0 K) ... 0.28 eV/atom